No. 1
First-principles (GGA-PBE) data for a geometry-optimized Li2MnCl6 structure, as listed in Alexandria.

Summary:
**Space group**: P2_1/c
**ΔE_f (raw)**: -1251.2 meV/atom
**Distance to the lowest polymorph of the same formula**: 0 meV/atom
**VASP energy**: -0.1443 hartree per atom

The structure in CIF format:
```
data_Li2MnCl6
_cell_length_a 6.148
_cell_length_b 6.731
_cell_length_c 11.516
_cell_angle_alpha 90.00
_cell_angle_beta 119.28
_cell_angle_gamma 90.00
_space_group_name_H-M_alt 'P 1'
_space_group_IT_number 1
_space_group_name_Hall 'P 1'
loop_
_atom_site_label
_atom_site_type_symbol
_atom_site_fract_x
_atom_site_fract_y
_atom_site_fract_z
Li1 Li 0.142 0.125 0.155
Li2 Li 0.142 0.375 0.655
Li3 Li 0.858 0.625 0.345
Li4 Li 0.858 0.875 0.845
Mn1 Mn 0.500 0.000 0.000
Mn2 Mn 0.500 0.500 0.500
Cl1 Cl 0.157 0.063 0.794
Cl2 Cl 0.157 0.437 0.294
Cl3 Cl 0.251 0.680 0.558
Cl4 Cl 0.251 0.820 0.058
Cl5 Cl 0.417 0.221 0.582
Cl6 Cl 0.417 0.279 0.082
Cl7 Cl 0.583 0.721 0.918
Cl8 Cl 0.583 0.779 0.418
Cl9 Cl 0.749 0.180 0.942
Cl10 Cl 0.749 0.320 0.442
Cl11 Cl 0.843 0.563 0.706
Cl12 Cl 0.843 0.937 0.206
```

No. 2
First-principles (GGA-PBE) data for a geometry-optimized Li2MnCl4 structure, as listed in Alexandria.

Summary:
**Space group**: I-42m
**ΔE_f (raw)**: -1496.3 meV/atom
**Distance to the lowest polymorph of the same formula**: 8 meV/atom
**VASP energy**: -0.1620 hartree per atom
**Fermi-level density of states**: 0.0 states/eV per cell

The structure in CIF format:
```
data_Li2MnCl4
_cell_length_a 6.792
_cell_length_b 6.792
_cell_length_c 6.792
_cell_angle_alpha 130.68
_cell_angle_beta 130.68
_cell_angle_gamma 72.31
_space_group_name_H-M_alt 'P 1'
_space_group_IT_number 1
_space_group_name_Hall 'P 1'
loop_
_atom_site_label
_atom_site_type_symbol
_atom_site_fract_x
_atom_site_fract_y
_atom_site_fract_z
Li1 Li 0.250 0.750 0.500
Li2 Li 0.750 0.250 0.500
Mn1 Mn 0.000 0.000 0.000
Cl1 Cl 0.108 0.108 0.474
Cl2 Cl 0.366 0.892 0.000
Cl3 Cl 0.634 0.634 0.526
Cl4 Cl 0.892 0.366 0.000
```

No. 3
First-principles (GGA-PBE) data for a geometry-optimized Li2MnCl4 structure, as listed in Alexandria.

Summary:
**Space group**: I4/mmm
**ΔE_f (raw)**: -1306.5 meV/atom
**Distance to the lowest polymorph of the same formula**: 198 meV/atom
**VASP energy**: -0.1550 hartree per atom

The structure in CIF format:
```
data_Li2MnCl4
_cell_length_a 7.363
_cell_length_b 7.363
_cell_length_c 7.363
_cell_angle_alpha 139.86
_cell_angle_beta 139.86
_cell_angle_gamma 58.07
_space_group_name_H-M_alt 'P 1'
_space_group_IT_number 1
_space_group_name_Hall 'P 1'
loop_
_atom_site_label
_atom_site_type_symbol
_atom_site_fract_x
_atom_site_fract_y
_atom_site_fract_z
Li1 Li 0.135 0.135 0.000
Li2 Li 0.865 0.865 0.000
Mn1 Mn 0.500 0.500 0.000
Cl1 Cl 0.000 0.500 0.500
Cl2 Cl 0.311 0.311 0.000
Cl3 Cl 0.500 0.000 0.500
Cl4 Cl 0.689 0.689 0.000
```

No. 4
First-principles (GGA-PBE) data for a geometry-optimized LiMnCl structure, as listed in Alexandria.

Summary:
**Space group**: I4mm
**ΔE_f (raw)**: -300.6 meV/atom
**Distance to the lowest polymorph of the same formula**: 39 meV/atom
**VASP energy**: -0.1694 hartree per atom
**Fermi-level density of states**: 1.0 states/eV per cell

The structure in CIF format:
```
data_LiMnCl
_cell_length_a 6.779
_cell_length_b 6.779
_cell_length_c 6.779
_cell_angle_alpha 152.44
_cell_angle_beta 152.44
_cell_angle_gamma 39.36
_space_group_name_H-M_alt 'P 1'
_space_group_IT_number 1
_space_group_name_Hall 'P 1'
loop_
_atom_site_label
_atom_site_type_symbol
_atom_site_fract_x
_atom_site_fract_y
_atom_site_fract_z
Li1 Li 0.000 0.000 0.000
Mn1 Mn 0.661 0.661 0.000
Cl1 Cl 0.453 0.453 0.000
```

No. 5
First-principles (GGA-PBE) data for a geometry-optimized Li2MnCl6 structure, as listed in Alexandria.

Summary:
**Space group**: P4_2/mnm
**ΔE_f (raw)**: -1220.7 meV/atom
**Distance to the lowest polymorph of the same formula**: 31 meV/atom
**VASP energy**: -0.1432 hartree per atom

The structure in CIF format:
```
data_Li2MnCl6
_cell_length_a 5.933
_cell_length_b 5.933
_cell_length_c 10.839
_cell_angle_alpha 90.00
_cell_angle_beta 90.00
_cell_angle_gamma 90.00
_space_group_name_H-M_alt 'P 1'
_space_group_IT_number 1
_space_group_name_Hall 'P 1'
loop_
_atom_site_label
_atom_site_type_symbol
_atom_site_fract_x
_atom_site_fract_y
_atom_site_fract_z
Li1 Li 0.000 0.000 0.168
Li2 Li 0.000 0.000 0.832
Li3 Li 0.500 0.500 0.332
Li4 Li 0.500 0.500 0.668
Mn1 Mn 0.000 0.000 0.500
Mn2 Mn 0.500 0.500 0.000
Cl1 Cl 0.188 0.188 0.347
Cl2 Cl 0.188 0.188 0.653
Cl3 Cl 0.225 0.225 0.000
Cl4 Cl 0.275 0.725 0.500
Cl5 Cl 0.312 0.688 0.153
Cl6 Cl 0.312 0.688 0.847
Cl7 Cl 0.688 0.312 0.153
Cl8 Cl 0.688 0.312 0.847
Cl9 Cl 0.725 0.275 0.500
Cl10 Cl 0.775 0.775 0.000
Cl11 Cl 0.812 0.812 0.347
Cl12 Cl 0.812 0.812 0.653
```

No. 6
First-principles (GGA-PBE) data for a geometry-optimized LiMn3Cl9 structure, as listed in Alexandria.

Summary:
**Space group**: Cc
**ΔE_f (raw)**: -1031.8 meV/atom
**VASP energy**: -0.1681 hartree per atom
**Fermi-level density of states**: 1.1 states/eV per cell

The structure in CIF format:
```
data_LiMn3Cl9
_cell_length_a 9.639
_cell_length_b 9.639
_cell_length_c 14.002
_cell_angle_alpha 122.56
_cell_angle_beta 122.56
_cell_angle_gamma 50.28
_space_group_name_H-M_alt 'P 1'
_space_group_IT_number 1
_space_group_name_Hall 'P 1'
loop_
_atom_site_label
_atom_site_type_symbol
_atom_site_fract_x
_atom_site_fract_y
_atom_site_fract_z
Li1 Li 0.039 0.961 0.500
Li2 Li 0.961 0.039 0.000
Mn1 Mn 0.242 0.506 0.625
Mn2 Mn 0.312 0.984 0.353
Mn3 Mn 0.506 0.242 0.125
Mn4 Mn 0.637 0.835 0.238
Mn5 Mn 0.835 0.637 0.738
Mn6 Mn 0.984 0.312 0.853
Cl1 Cl 0.034 0.250 0.683
Cl2 Cl 0.045 0.708 0.907
Cl3 Cl 0.080 0.979 0.351
Cl4 Cl 0.173 0.630 0.499
Cl5 Cl 0.183 0.390 0.043
Cl6 Cl 0.250 0.034 0.183
Cl7 Cl 0.390 0.183 0.543
Cl8 Cl 0.418 0.497 0.804
Cl9 Cl 0.497 0.418 0.304
Cl10 Cl 0.555 0.723 0.606
Cl11 Cl 0.615 0.729 0.342
Cl12 Cl 0.630 0.173 0.999
Cl13 Cl 0.641 0.936 0.122
Cl14 Cl 0.708 0.045 0.407
Cl15 Cl 0.723 0.555 0.106
Cl16 Cl 0.729 0.615 0.842
Cl17 Cl 0.936 0.641 0.622
Cl18 Cl 0.979 0.080 0.851
```

No. 7
First-principles (GGA-PBE) data for a geometry-optimized Li3Mn5Cl12 structure, as listed in Alexandria.

Summary:
**Space group**: Ia-3d
**ΔE_f (raw)**: -1121.7 meV/atom
**VASP energy**: -0.1767 hartree per atom
**Fermi-level density of states**: 37.5 states/eV per cell

The structure in CIF format:
```
data_Li3Mn5Cl12
_cell_length_a 13.488
_cell_length_b 13.488
_cell_length_c 13.488
_cell_angle_alpha 109.47
_cell_angle_beta 109.47
_cell_angle_gamma 109.47
_space_group_name_H-M_alt 'P 1'
_space_group_IT_number 1
_space_group_name_Hall 'P 1'
loop_
_atom_site_label
_atom_site_type_symbol
_atom_site_fract_x
_atom_site_fract_y
_atom_site_fract_z
Li1 Li 0.125 0.250 0.375
Li2 Li 0.125 0.375 0.750
Li3 Li 0.250 0.375 0.125
Li4 Li 0.250 0.875 0.625
Li5 Li 0.375 0.125 0.250
Li6 Li 0.375 0.750 0.125
Li7 Li 0.625 0.250 0.875
Li8 Li 0.625 0.875 0.750
Li9 Li 0.750 0.125 0.375
Li10 Li 0.750 0.625 0.875
Li11 Li 0.875 0.625 0.250
Li12 Li 0.875 0.750 0.625
Mn1 Mn 0.000 0.000 0.000
Mn2 Mn 0.000 0.000 0.500
Mn3 Mn 0.000 0.500 0.000
Mn4 Mn 0.000 0.500 0.500
Mn5 Mn 0.125 0.750 0.875
Mn6 Mn 0.125 0.875 0.250
Mn7 Mn 0.250 0.125 0.875
Mn8 Mn 0.250 0.625 0.375
Mn9 Mn 0.375 0.250 0.625
Mn10 Mn 0.375 0.625 0.750
Mn11 Mn 0.500 0.000 0.000
Mn12 Mn 0.500 0.000 0.500
Mn13 Mn 0.500 0.500 0.000
Mn14 Mn 0.500 0.500 0.500
Mn15 Mn 0.625 0.375 0.250
Mn16 Mn 0.625 0.750 0.375
Mn17 Mn 0.750 0.375 0.625
Mn18 Mn 0.750 0.875 0.125
Mn19 Mn 0.875 0.125 0.750
Mn20 Mn 0.875 0.250 0.125
Cl1 Cl 0.033 0.211 0.124
Cl2 Cl 0.033 0.323 0.909
Cl3 Cl 0.087 0.711 0.677
Cl4 Cl 0.087 0.876 0.409
Cl5 Cl 0.091 0.624 0.413
Cl6 Cl 0.091 0.967 0.677
Cl7 Cl 0.124 0.033 0.211
Cl8 Cl 0.124 0.591 0.913
Cl9 Cl 0.177 0.211 0.587
Cl10 Cl 0.177 0.467 0.591
Cl11 Cl 0.211 0.124 0.033
Cl12 Cl 0.211 0.587 0.177
Cl13 Cl 0.289 0.323 0.913
Cl14 Cl 0.289 0.467 0.376
Cl15 Cl 0.323 0.909 0.033
Cl16 Cl 0.323 0.913 0.289
Cl17 Cl 0.376 0.289 0.467
Cl18 Cl 0.376 0.587 0.909
Cl19 Cl 0.409 0.087 0.876
Cl20 Cl 0.409 0.823 0.533
Cl21 Cl 0.413 0.091 0.624
Cl22 Cl 0.413 0.823 0.789
Cl23 Cl 0.467 0.376 0.289
Cl24 Cl 0.467 0.591 0.177
Cl25 Cl 0.533 0.409 0.823
Cl26 Cl 0.533 0.624 0.711
Cl27 Cl 0.587 0.177 0.211
Cl28 Cl 0.587 0.909 0.376
Cl29 Cl 0.591 0.177 0.467
Cl30 Cl 0.591 0.913 0.124
Cl31 Cl 0.624 0.413 0.091
Cl32 Cl 0.624 0.711 0.533
Cl33 Cl 0.677 0.087 0.711
Cl34 Cl 0.677 0.091 0.967
Cl35 Cl 0.711 0.533 0.624
Cl36 Cl 0.711 0.677 0.087
Cl37 Cl 0.789 0.413 0.823
Cl38 Cl 0.789 0.876 0.967
Cl39 Cl 0.823 0.533 0.409
Cl40 Cl 0.823 0.789 0.413
Cl41 Cl 0.876 0.409 0.087
Cl42 Cl 0.876 0.967 0.789
Cl43 Cl 0.909 0.033 0.323
Cl44 Cl 0.909 0.376 0.587
Cl45 Cl 0.913 0.124 0.591
Cl46 Cl 0.913 0.289 0.323
Cl47 Cl 0.967 0.677 0.091
Cl48 Cl 0.967 0.789 0.876
```

No. 8
First-principles (GGA-PBE) data for a geometry-optimized Li2MnCl4 structure, as listed in Alexandria.

Summary:
**Space group**: P2_1/m
**ΔE_f (raw)**: -1445.0 meV/atom
**Distance to the lowest polymorph of the same formula**: 59 meV/atom
**VASP energy**: -0.1601 hartree per atom
**Fermi-level density of states**: 0.0 states/eV per cell

The structure in CIF format:
```
data_Li2MnCl4
_cell_length_a 7.188
_cell_length_b 7.286
_cell_length_c 7.274
_cell_angle_alpha 90.00
_cell_angle_beta 93.52
_cell_angle_gamma 90.00
_space_group_name_H-M_alt 'P 1'
_space_group_IT_number 1
_space_group_name_Hall 'P 1'
loop_
_atom_site_label
_atom_site_type_symbol
_atom_site_fract_x
_atom_site_fract_y
_atom_site_fract_z
Li1 Li 0.005 0.250 0.249
Li2 Li 0.382 0.250 0.194
Li3 Li 0.618 0.750 0.806
Li4 Li 0.995 0.750 0.751
Mn1 Mn 0.169 0.750 0.175
Mn2 Mn 0.831 0.250 0.825
Cl1 Cl 0.146 0.250 0.938
Cl2 Cl 0.228 0.011 0.362
Cl3 Cl 0.228 0.489 0.362
Cl4 Cl 0.307 0.750 0.885
Cl5 Cl 0.693 0.250 0.115
Cl6 Cl 0.772 0.511 0.638
Cl7 Cl 0.772 0.989 0.638
Cl8 Cl 0.854 0.750 0.062
```

No. 9
First-principles (GGA-PBE) data for a geometry-optimized LiMnCl structure, as listed in Alexandria.

Summary:
**Space group**: P-6m2
**ΔE_f (raw)**: -20.3 meV/atom
**Distance to the lowest polymorph of the same formula**: 320 meV/atom
**VASP energy**: -0.1591 hartree per atom
**Fermi-level density of states**: 1.5 states/eV per cell

The structure in CIF format:
```
data_LiMnCl
_cell_length_a 4.167
_cell_length_b 4.167
_cell_length_c 3.415
_cell_angle_alpha 90.00
_cell_angle_beta 90.00
_cell_angle_gamma 120.00
_space_group_name_H-M_alt 'P 1'
_space_group_IT_number 1
_space_group_name_Hall 'P 1'
loop_
_atom_site_label
_atom_site_type_symbol
_atom_site_fract_x
_atom_site_fract_y
_atom_site_fract_z
Li1 Li 0.000 0.000 0.000
Mn1 Mn 0.333 0.667 0.500
Cl1 Cl 0.667 0.333 0.500
```

No. 10
First-principles (GGA-PBE) data for a geometry-optimized LiMnCl structure, as listed in Alexandria.

Summary:
**Space group**: F-43m
**ΔE_f (raw)**: 295.6 meV/atom
**Distance to the lowest polymorph of the same formula**: 636 meV/atom
**VASP energy**: -0.1475 hartree per atom
**Fermi-level density of states**: 2.7 states/eV per cell

The structure in CIF format:
```
data_LiMnCl
_cell_length_a 4.548
_cell_length_b 4.548
_cell_length_c 4.548
_cell_angle_alpha 60.00
_cell_angle_beta 60.00
_cell_angle_gamma 60.00
_space_group_name_H-M_alt 'P 1'
_space_group_IT_number 1
_space_group_name_Hall 'P 1'
loop_
_atom_site_label
_atom_site_type_symbol
_atom_site_fract_x
_atom_site_fract_y
_atom_site_fract_z
Li1 Li 0.000 0.000 0.000
Mn1 Mn 0.250 0.250 0.250
Cl1 Cl 0.500 0.500 0.500
```